Entry from Alexandria via LeMat-Bulk: an optimized crystal structure of LiTl2Ag2 (PBE).

For the relative energy among the computed polymorphs, the calculation gives 0 meV/atom. The total energy comes out at -2.4416 eV/atom. The formation energy is 0.03 eV per atom.

It has space group P4/mbm (No. 127), with a = 7.562 Å, b = 7.562 Å, c = 4.053 Å, α = 90.00°, β = 90.00° and γ = 90.00°. The inequivalent atoms are Li at (0.000, 0.000, 0.000), Tl at (0.171, 0.329, 0.500) and Ag at (0.133, 0.633, 0.000).